# 1
{"formula": "Cs2RbSF", "functional": "GGA-PBE", "state": "optimized geometry", "lattice": [[-2.6365, 2.3486, 3.0395], [-1.5478, -8.3162, 1.5126], [7.8026, -0.1940, 6.9179]], "species": ["Cs", "Cs", "Cs", "Cs", "Rb", "Rb", "S", "S", "F", "F"], "fractional_positions": [[0.3391, 0.6783, 0.0661], [0.6609, 0.3217, 0.5661], [0.3391, 0.6783, 0.4339], [0.6609, 0.3217, 0.9339], [0.9167, 0.8335, 0.7500], [0.0833, 0.1665, 0.2500], [0.7280, 0.4561, 0.2500], [0.2720, 0.5439, 0.7500], [0.5000, 0.0000, 0.5000], [0.5000, 0.0000, 0.0000]], "spacegroup": "Cmcm", "de_polymorph_ev_per_atom": 0.028}


# 2
{"formula": "AcZnIrN", "functional": "GGA-PBE", "state": "optimized geometry", "lattice": [[-3.5700, -1.0479, -1.7405], [-0.6118, -2.8012, 2.9413], [-4.2772, 6.2164, 5.0306]], "species": ["Ac", "Ac", "Zn", "Zn", "Ir", "Ir", "N", "N"], "fractional_positions": [[0.0000, 0.5000, 0.8416], [0.5000, 0.0000, 0.1584], [0.0000, 0.0000, 0.5000], [0.5000, 0.5000, 0.5000], [0.0000, 0.5000, 0.3282], [0.5000, 0.0000, 0.6718], [0.5000, 0.0000, 0.8853], [0.0000, 0.5000, 0.1147]], "dos_at_fermi_per_ev_cell": 5.7, "spacegroup": "P4/nmm"}


# 3
{"formula": "TlAuSe2", "functional": "GGA-PBE", "state": "optimized geometry", "lattice": [[2.8593, -0.0244, 0.0000], [0.0027, 2.8594, 0.0000], [0.0000, 0.0000, 12.2948]], "species": ["Au", "Se", "Se", "Tl"], "fractional_positions": [[0.5000, 0.5000, 0.7490], [0.0000, 0.0000, 0.9508], [0.5000, 0.5000, 0.2719], [0.0000, 0.0000, 0.5283]], "dos_at_fermi_per_ev_cell": 1.7, "spacegroup": "Cmm2"}


Number 1: uncorrected formation energy -149 kJ per mole of atoms, total magnetization 0.0 μB/cell. Number 2: uncorrected formation energy -53 kJ per mole of atoms, total magnetization 0.0 μB/cell. Number 3: uncorrected formation energy 28 kJ per mole of atoms, total magnetization 0.0 μB/cell.